[1]
LiPt2Cl, relaxed, DFT PBE; formation energy without anion corrections = 5.65 kcal/mol of atoms; calculated volume = 15.25 Å³ per atom; density = 11.78 g/cm³; total moment = 0.00 μB/cell
1.0
-1.578 4.204 0.147
-2.243 -0.708 -3.828
-2.393 -0.953 1.578
Li Pt Cl
1 2 1
Direct
0.000 0.500 0.500
0.000 0.000 0.000
0.500 0.500 0.000
0.500 0.000 0.500


[2]
Rb2VPbBr6, relaxed, DFT PBE; formation energy without anion corrections = -27.29 kcal/mol of atoms; calculated volume = 35.61 Å³ per atom; density = 4.24 g/cm³; total moment = 3.00 μB/cell
1.0
-4.173 4.710 -4.869
-6.209 -0.372 4.961
-3.275 6.695 2.783
Br V Pb Rb
6 1 1 2
Direct
0.265 0.735 0.000
0.735 0.265 0.000
0.735 0.735 0.000
0.265 0.265 0.000
0.265 0.265 0.469
0.735 0.735 0.531
0.500 0.500 0.000
0.000 0.000 0.000
0.250 0.750 0.500
0.750 0.250 0.500


[3]
AlHF, relaxed, DFT PBE; uncorrected energy = -4.306 eV per atom; calculated volume = 11.17 Å³ per atom; density = 2.33 g/cm³; total moment = 0.00 μB/cell
1.0
5.108 0.000 0.000
0.000 3.828 0.000
-4.229 0.000 6.854
Al F H
4 4 4
Direct
0.934 0.500 0.969
0.293 0.000 0.332
0.934 0.000 0.469
0.293 0.500 0.832
0.958 0.500 0.523
0.675 0.000 0.570
0.958 0.000 0.023
0.675 0.500 0.070
0.244 0.500 0.247
0.554 0.000 0.256
0.244 0.000 0.747
0.554 0.500 0.756


[4]
CsIn3Hg3, relaxed, DFT PBE; formation energy from the elements = -2 kJ/mol of formula units; calculated volume = 38.81 Å³ per atom; density = 6.60 g/cm³; total moment = 0.00 μB/cell
1.0
8.160 0.000 0.000
0.000 8.160 0.000
0.000 0.000 8.160
Hg In Cs
6 6 2
Direct
0.000 0.500 0.750
0.500 0.250 0.000
0.000 0.500 0.250
0.750 0.000 0.500
0.250 0.000 0.500
0.500 0.750 0.000
0.500 0.000 0.750
0.750 0.500 0.000
0.250 0.500 0.000
0.500 0.000 0.250
0.000 0.250 0.500
0.000 0.750 0.500
0.500 0.500 0.500
0.000 0.000 0.000


[5]
P3PbS9, relaxed, DFT PBE; formation energy without anion corrections = -2.62 kcal/mol of atoms; calculated volume = 27.62 Å³ per atom; density = 2.72 g/cm³; total moment = 2.04 μB/cell
1.0
-3.845 -6.493 -4.802
6.786 -4.746 3.381
-5.126 -2.244 7.138
P Pb S
6 2 18
Direct
0.251 0.251 0.000
0.152 0.812 0.427
0.812 0.152 0.573
0.749 0.749 0.500
0.848 0.188 0.927
0.188 0.848 0.073
0.746 0.746 0.000
0.254 0.254 0.500
0.974 0.746 0.581
0.026 0.254 0.081
0.935 0.065 0.750
0.746 0.974 0.419
0.632 0.692 0.682
0.254 0.026 0.919
0.691 0.049 0.037
0.065 0.935 0.250
0.368 0.308 0.182
0.215 0.618 0.353
0.049 0.691 0.963
0.692 0.632 0.318
0.951 0.309 0.463
0.308 0.368 0.818
0.309 0.951 0.537
0.382 0.785 0.147
0.618 0.215 0.647
0.785 0.382 0.853


[6]
ZnAuCl3, relaxed, DFT PBE; formation energy without anion corrections = -5.76 kcal/mol of atoms; calculated volume = 22.81 Å³ per atom; density = 5.37 g/cm³; total moment = 0.00 μB/cell
1.0
4.849 0.000 0.000
0.000 4.849 0.000
0.000 0.000 4.849
Cl Au Zn
3 1 1
Direct
0.000 0.500 0.000
0.000 0.000 0.500
0.500 0.000 0.000
0.500 0.500 0.500
0.000 0.000 0.000


[7]
TaInBr2O, relaxed, DFT PBE; formation energy without anion corrections = -9.14 kcal/mol of atoms; calculated volume = 27.32 Å³ per atom; density = 5.73 g/cm³; total moment = 2.00 μB/cell
1.0
5.997 0.000 0.000
0.000 3.798 0.000
0.000 0.000 5.997
In Ta Br O
1 1 2 1
Direct
0.500 0.500 0.500
0.000 0.500 0.000
0.500 0.000 0.000
0.000 0.000 0.500
0.000 0.000 0.000


[8]
AlAgOs, relaxed, DFT PBE; formation energy from the elements = 145 kJ/mol of formula units; calculated volume = 17.11 Å³ per atom; density = 10.52 g/cm³; total moment = 0.00 μB/cell
1.0
4.171 0.000 0.000
2.086 3.613 0.000
2.086 1.204 3.406
Ag Os Al
1 1 1
Direct
0.500 0.500 0.500
0.000 0.000 0.000
0.750 0.750 0.750